Run i
Computed, not measured: a relaxed Cs2VHO4 crystal at the PBE+U level of DFT.

As for the magnetic moment: 0.00 μB/cell. Its symmetry is No. 70.

abc: 12.606 11.093 6.723
angles: 86.41 61.43 32.16
Atoms (fractional coordinates):
1 Cs 0.045 0.045 0.705
2 Cs 0.295 0.295 0.955
3 Cs 0.705 0.705 0.045
4 Cs 0.955 0.955 0.295
5 V 0.375 0.375 0.375
6 V 0.625 0.625 0.625
7 H 0.125 0.125 0.125
8 H 0.875 0.875 0.875
9 O 0.002 0.660 0.594
10 O 0.244 0.594 0.660
11 O 0.340 0.998 0.756
12 O 0.406 0.756 0.998
13 O 0.594 0.244 0.002
14 O 0.660 0.002 0.244
15 O 0.756 0.406 0.340
16 O 0.998 0.340 0.406

=====

Run ii
Computed, not measured: a relaxed Cs2VHO4 crystal at the PBE+U level of DFT.

As for the magnetic moment: 0.00 μB/cell. Its symmetry is No. 36.

abc: 7.141 7.141 10.476
angles: 90.00 90.00 137.10
Atoms (fractional coordinates):
1 Cs 0.080 0.920 0.500
2 Cs 0.365 0.635 0.661
3 Cs 0.635 0.365 0.161
4 Cs 0.920 0.080 0.000
5 V 0.344 0.656 0.298
6 V 0.656 0.344 0.798
7 H 0.128 0.872 0.887
8 H 0.872 0.128 0.387
9 O 0.108 0.352 0.392
10 O 0.217 0.783 0.271
11 O 0.352 0.108 0.892
12 O 0.408 0.592 0.155
13 O 0.592 0.408 0.655
14 O 0.648 0.892 0.392
15 O 0.783 0.217 0.771
16 O 0.892 0.648 0.892

=====

run ii takes first place; second place is 267 meV/atom up.